# PuGaIr PBE optimized geometry
data_PuGaIr
_chemical_formula_sum 'Pu6 Ga6 Ir6'
_cell_length_a 7.0665
_cell_length_b 4.0830
_cell_length_c 12.0231
_cell_angle_alpha 90.00
_cell_angle_beta 90.39
_cell_angle_gamma 90.00
_space_group_name_H-M_alt 'P 1 21/m 1'
_space_group_IT_number 11
loop_
_space_group_symop_operation_xyz
'x,y,z'
'-x,-y,-z'
'-x,y+1/2,-z'
'x,-y+1/2,z'
loop_
_atom_site_label
_atom_site_type_symbol
_atom_site_fract_x
_atom_site_fract_y
_atom_site_fract_z
Pu1 Pu 0.0332 0.2500 0.1250
Pu2 Pu 0.1568 0.2500 0.4209
Pu3 Pu 0.4645 0.7500 0.7903
Ga1 Ga 0.1312 0.2500 0.7033
Ga2 Ga 0.3545 0.7500 0.0434
Ga3 Ga 0.4953 0.7500 0.4153
Ir1 Ir 0.2402 0.7500 0.2528
Ir2 Ir 0.2613 0.2500 0.9186
Ir3 Ir 0.2633 0.7500 0.5887
# DOS(E_F), states/eV/f.u.: 8.303
# Total DFT energy (no corrections), eV per atom: -9.37
# Energy of formation from the pure elements, eV/atom: -0.63